# 1
Material: Zn2TcNi
Method: DFT, meta-GGA SCAN
State: single point on PBEsol structure

Output
Energy of formation in meV/atom: 142
Final energy in eV per atom: -19.42

Cell lengths 3.6870, 3.6870, 4.5620 Å; angles 113.83, 113.83, 90.00 degrees
With the nearest neighbours (Å) after each atom.
Element x y z (fractional)
Ni 0.5000 0.5000 0.0000  4 Tc 2.61, 8 Zn 2.63
Tc 0.0000 0.0000 0.0000  4 Ni 2.61, 8 Zn 2.63
Zn 0.7500 0.2500 0.5000  4 Zn 2.61, 4 Ni 2.63, 4 Tc 2.63
Zn 0.2500 0.7500 0.5000  4 Zn 2.61, 4 Ni 2.63, 4 Tc 2.63



# 2
Material: BaBeRh2
Method: DFT, meta-GGA SCAN
State: single point on PBEsol structure

Output
Energy of formation in meV/atom: 669
Final energy in eV per atom: -27.19

Cell lengths 4.6488, 4.6488, 4.6488 Å; angles 60.00, 60.00, 60.00 degrees
With the nearest neighbours (Å) after each atom.
Element x y z (fractional)
Be 0.2500 0.2500 0.2500  4 Ba 2.85, 4 Rh 2.85
Rh 0.0000 0.0000 0.0000  4 Rh 2.85, 4 Be 2.85
Rh 0.7500 0.7500 0.7500  4 Ba 2.85, 4 Rh 2.85
Ba 0.5000 0.5000 0.5000  4 Be 2.85, 4 Rh 2.85



# 3
Material: Cd2SbMo
Method: DFT, meta-GGA SCAN
State: single point on PBEsol structure

Output
Final energy in eV per atom: -32.89
Formation energy (no corrections) in eV/atom: 0.35

Cell lengths 3.0578, 3.0578, 8.9354 Å; angles 90.00, 90.00, 90.00 degrees
With the nearest neighbours (Å) after each atom.
Element x y z (fractional)
Cd 0.0000 0.0000 0.0277  8 Cd 3.06-3.09
Cd 0.5000 0.5000 0.2755  4 Mo 2.92, 8 Cd 3.06-3.09
Mo 0.0000 0.0000 0.4950  4 Sb 2.84, 4 Cd 2.92, 4 Mo 3.06
Sb 0.5000 0.5000 0.7018  4 Mo 2.84, 4 Sb 3.06



# 4
Material: ReMo2Rh
Method: DFT, meta-GGA SCAN
State: single point on PBEsol structure

Output
Energy of formation in meV/atom: 44
Final energy in eV per atom: -43.62

Cell lengths 3.8554, 3.8554, 4.7903 Å; angles 113.73, 113.73, 90.00 degrees
With the nearest neighbours (Å) after each atom.
Element x y z (fractional)
Mo 0.5000 0.5000 0.0000  4 Re 2.73, 4 Mo 2.76, 4 Rh 2.76
Mo 0.7500 0.2500 0.5000  4 Rh 2.73, 4 Mo 2.76, 4 Re 2.76
Re 0.0000 0.0000 0.0000  8 Mo 2.73-2.76, 4 Rh 2.76
Rh 0.2500 0.7500 0.5000  8 Mo 2.73-2.76, 4 Re 2.76



The lowest final energy belongs to which entry? ReMo2Rh



final energy of number 4 (ReMo2Rh)? -43.62 eV per atom